YSc2W after structural relaxation, computed with PBEsol.

a b c (Å): 3.6458 4.7780 10.0613
angles (deg): 90.00 90.00 90.00
Closest atoms and distances in Å follow each position.
Space group Cmm2 (No. 35)
Asymmetric unit:
Y 0.0000 0.0000 0.0000 x2  2 W 2.94, 4 Y 3.01
Sc 0.0000 0.0000 0.5610 x2  2 W 2.79, 4 Sc 3.01
Sc 0.0000 0.5000 0.2950 x2  6 Sc 3.01-3.24
W 0.0000 0.5000 0.7706 x2  2 Sc 2.79, 2 Y 2.94, 4 W 3.01

Calculated values
DFT formation energy   365.8 meV per atom
Offset from the most stable computed form   0.064 eV/atom